1.
DFT (GGA-PBE) results for a relaxed La3Tb7Y crystal.

- space-group type = P3m1 (156)
- M_tot (μB/atom) = 0.000

Lattice parameters (Å, degrees): 8.813 7.134 7.134 120.00 90.00 90.00
Fractional coordinates of all 11 atoms:
La1 0.784 0.500 0.500
La2 0.784 0.500 0.001
La3 0.784 0.999 0.500
Tb1 0.122 0.167 0.833
Tb2 0.122 0.167 0.334
Tb3 0.124 0.667 0.333
Tb4 0.443 0.833 0.167
Tb5 0.443 0.335 0.167
Tb6 0.443 0.833 0.665
Tb7 0.122 0.666 0.833
Y1 0.442 0.333 0.667

***

2.
DFT (GGA-PBE) results for a relaxed LaTb4Y7 crystal.

- space-group type = P-1 (2)
- M_tot (μB/atom) = 0.000

Lattice parameters (Å, degrees): 6.884 6.575 11.812 74.79 50.14 81.73
Fractional coordinates of all 12 atoms:
La1 0.000 0.000 0.000
Tb1 0.516 0.640 0.288
Tb2 0.484 0.360 0.712
Tb3 0.703 0.837 0.686
Tb4 0.297 0.163 0.314
Y1 0.795 0.517 0.952
Y2 0.205 0.483 0.048
Y3 0.057 0.318 0.642
Y4 0.943 0.682 0.358
Y5 0.283 0.808 0.614
Y6 0.500 0.000 0.000
Y7 0.717 0.192 0.386

***

3.
DFT (GGA-PBE) results for a relaxed La2Tb4Y3 crystal.

- space-group type = C2/c (15)
- M_tot (μB/atom) = 0.000

Lattice parameters (Å, degrees): 6.060 10.287 10.287 69.72 84.10 84.10
Fractional coordinates of all 18 atoms:
La1 0.221 0.722 0.490
La2 0.279 0.510 0.278
La3 0.779 0.278 0.510
La4 0.721 0.490 0.722
Tb1 0.543 0.045 0.833
Tb2 0.957 0.167 0.955
Tb3 0.457 0.955 0.167
Tb4 0.043 0.833 0.045
Tb5 0.632 0.843 0.623
Tb6 0.868 0.377 0.157
Tb7 0.368 0.157 0.377
Tb8 0.132 0.623 0.843
Y1 0.089 0.985 0.687
Y2 0.411 0.313 0.015
Y3 0.911 0.015 0.313
Y4 0.589 0.687 0.985
Y5 0.250 0.350 0.650
Y6 0.750 0.650 0.350

***

4.
DFT (GGA-PBE) results for a relaxed La3Tb4Y crystal.

- space-group type = Pmn2_1 (31)
- M_tot (μB/atom) = 0.000

Lattice parameters (Å, degrees): 7.299 6.287 11.761 90.00 90.00 90.00
Fractional coordinates of all 16 atoms:
La1 0.689 0.830 0.000
La2 0.939 0.999 0.250
La3 0.439 0.001 0.250
La4 0.189 0.170 0.500
La5 0.439 0.001 0.750
La6 0.939 0.999 0.750
Tb1 0.190 0.831 0.000
Tb2 0.438 0.333 0.000
Tb3 0.190 0.500 0.249
Tb4 0.690 0.500 0.251
Tb5 0.938 0.667 0.500
Tb6 0.690 0.169 0.500
Tb7 0.690 0.500 0.749
Tb8 0.190 0.500 0.751
Y1 0.941 0.332 0.000
Y2 0.441 0.668 0.500

***

5.
DFT (GGA-PBE) results for a relaxed LaTb4Y15 crystal.

- space-group type = P4/mmm (123)
- M_tot (μB/atom) = 0.000

Lattice parameters (Å, degrees): 5.063 5.063 25.302 90.00 90.00 90.00
Fractional coordinates of all 20 atoms:
La1 0.000 0.000 0.000
Tb1 0.000 0.000 0.201
Tb2 0.000 0.000 0.401
Tb3 0.000 0.000 0.599
Tb4 0.000 0.000 0.799
Y1 0.500 0.500 0.000
Y2 0.500 0.500 0.202
Y3 0.500 0.500 0.401
Y4 0.500 0.500 0.599
Y5 0.500 0.500 0.798
Y6 0.500 0.000 0.103
Y7 0.500 0.000 0.301
Y8 0.500 0.000 0.500
Y9 0.500 0.000 0.699
Y10 0.500 0.000 0.897
Y11 0.000 0.500 0.103
Y12 0.000 0.500 0.301
Y13 0.000 0.500 0.500
Y14 0.000 0.500 0.699
Y15 0.000 0.500 0.897

***

6.
DFT (GGA-PBE) results for a relaxed La2Tb3Y crystal.

- space-group type = Pnnm (58)
- M_tot (μB/atom) = 0.000

Lattice parameters (Å, degrees): 3.393 6.811 17.698 90.00 90.00 90.00
Fractional coordinates of all 12 atoms:
La1 0.500 0.755 0.156
La2 0.000 0.255 0.344
La3 0.000 0.745 0.656
La4 0.500 0.245 0.844
Tb1 0.000 0.000 0.000
Tb2 0.500 0.500 0.500
Tb3 0.500 0.756 0.830
Tb4 0.500 0.244 0.170
Tb5 0.000 0.256 0.670
Tb6 0.000 0.744 0.330
Y1 0.000 0.000 0.500
Y2 0.500 0.500 0.000

***

7.
DFT (GGA-PBE) results for a relaxed La6Tb4Y crystal.

- space-group type = I-42m (121)
- M_tot (μB/atom) = 0.000

Lattice parameters (Å, degrees): 9.916 9.916 9.916 56.64 140.80 140.80
Fractional coordinates of all 11 atoms:
La1 0.000 0.805 0.459
La2 0.000 0.459 0.805
La3 0.346 0.541 0.541
La4 0.500 0.500 0.000
La5 0.654 0.195 0.195
La6 0.500 0.000 0.500
Tb1 0.000 0.637 0.005
Tb2 0.368 0.363 0.363
Tb3 0.000 0.005 0.637
Tb4 0.632 0.995 0.995
Y1 0.000 0.000 0.000

***

8.
DFT (GGA-PBE) results for a relaxed La12Tb3Y crystal.

- space-group type = P4/mmm (123)
- M_tot (μB/atom) = 0.000

Lattice parameters (Å, degrees): 5.215 5.215 20.837 90.00 90.00 90.00
Fractional coordinates of all 16 atoms:
La1 0.500 0.500 0.000
La2 0.500 0.500 0.251
La3 0.500 0.500 0.500
La4 0.500 0.500 0.749
La5 0.500 0.000 0.126
La6 0.500 0.000 0.375
La7 0.500 0.000 0.625
La8 0.500 0.000 0.874
La9 0.000 0.500 0.126
La10 0.000 0.500 0.375
La11 0.000 0.500 0.625
La12 0.000 0.500 0.874
Tb1 0.000 0.000 0.250
Tb2 0.000 0.000 0.500
Tb3 0.000 0.000 0.750
Y1 0.000 0.000 0.000

***

no.,uncorrected energy (eV/atom),DOS at the Fermi energy (states/eV/cell),DFT formation energy (eV/atom)
1,-4.71,17.783,0.17
2,-5.64,21.836,0.08
3,-5.21,27.103,0.09
4,-4.97,19.736,0.00
5,-6.00,29.401,0.02
6,-4.78,20.384,0.25
7,-4.70,17.815,0.26
8,-4.96,22.695,0.01